Record 1
{"formula": "LiTh2Mo", "functional": "PBE", "state": "relaxed", "e_form_kj_per_mol_fu": 195, "m_tot_mub_per_atom": 0.000, "sg": "No. 166", "de_polymorph_mev_per_atom": 310, "cell": [[1.712, 0.988, 11.110], [-1.712, 0.988, 11.110], [0.000, -1.977, 11.110]], "species": ["Li", "Th", "Th", "Mo"], "frac_coords": [[0.000, 0.000, 0.000], [0.100, 0.100, 0.100], [0.900, 0.900, 0.900], [0.500, 0.500, 0.500]]}


Record 2
{"formula": "LiTh2Mo", "functional": "PBE", "state": "relaxed", "e_form_kj_per_mol_fu": 76, "m_tot_mub_per_atom": 0.000, "sg": "No. 225", "de_polymorph_mev_per_atom": 0, "cell": [[0.000, 3.641, 3.641], [3.641, 0.000, 3.641], [3.641, 3.641, 0.000]], "species": ["Li", "Th", "Th", "Mo"], "frac_coords": [[0.000, 0.000, 0.000], [0.250, 0.250, 0.250], [0.750, 0.750, 0.750], [0.500, 0.500, 0.500]]}


Record 3
{"formula": "LiTmThMo", "functional": "PBE", "state": "relaxed", "e_form_kj_per_mol_fu": 46, "m_tot_mub_per_atom": 0.000, "sg": "No. 216", "cell": [[0.000, 3.545, 3.545], [3.545, 0.000, 3.545], [3.545, 3.545, 0.000]], "species": ["Li", "Tm", "Th", "Mo"], "frac_coords": [[0.000, 0.000, 0.000], [0.250, 0.250, 0.250], [0.750, 0.750, 0.750], [0.500, 0.500, 0.500]]}


Record 4
{"formula": "LiYThMo", "functional": "PBE", "state": "relaxed", "e_form_kj_per_mol_fu": 57, "m_tot_mub_per_atom": 0.000, "sg": "No. 216", "cell": [[0.000, 3.572, 3.572], [3.572, 0.000, 3.572], [3.572, 3.572, 0.000]], "species": ["Li", "Y", "Th", "Mo"], "frac_coords": [[0.000, 0.000, 0.000], [0.750, 0.750, 0.750], [0.250, 0.250, 0.250], [0.500, 0.500, 0.500]]}


Record 5
{"formula": "Li2TiMo", "functional": "PBE", "state": "relaxed", "e_form_kj_per_mol_fu": 256, "m_tot_mub_per_atom": 0.000, "sg": "No. 122", "cell": [[-3.582, 3.582, 2.386], [3.582, -3.582, 2.386], [3.582, 3.582, -2.386]], "species": ["Li", "Li", "Li", "Li", "Ti", "Ti", "Mo", "Mo"], "frac_coords": [[0.125, 0.625, 0.000], [0.375, 0.375, 0.500], [0.625, 0.125, 0.000], [0.875, 0.875, 0.500], [0.000, 0.000, 0.000], [0.750, 0.250, 0.500], [0.250, 0.750, 0.500], [0.500, 0.500, 0.000]]}


Record 6
{"formula": "LiTi3Mo", "functional": "PBE", "state": "relaxed", "e_form_kj_per_mol_fu": 485, "m_tot_mub_per_atom": 0.000, "sg": "No. 221", "de_polymorph_mev_per_atom": 230, "cell": [[4.323, 0.000, 0.000], [0.000, 4.323, 0.000], [0.000, 0.000, 4.323]], "species": ["Li", "Ti", "Ti", "Ti", "Mo"], "frac_coords": [[0.000, 0.000, 0.000], [0.000, 0.000, 0.500], [0.000, 0.500, 0.000], [0.500, 0.000, 0.000], [0.500, 0.500, 0.500]]}


Record 7
{"formula": "LiTi3Mo", "functional": "PBE", "state": "relaxed", "e_form_kj_per_mol_fu": 374, "m_tot_mub_per_atom": 0.000, "sg": "No. 221", "de_polymorph_mev_per_atom": 0, "cell": [[4.814, 0.000, 0.000], [0.000, 4.814, 0.000], [0.000, 0.000, 4.814]], "species": ["Li", "Ti", "Ti", "Ti", "Mo"], "frac_coords": [[0.000, 0.000, 0.000], [0.000, 0.500, 0.500], [0.500, 0.000, 0.500], [0.500, 0.500, 0.000], [0.500, 0.500, 0.500]]}


Record 8
{"formula": "Li3TiMo", "functional": "PBE", "state": "relaxed", "e_form_kj_per_mol_fu": 670, "m_tot_mub_per_atom": 0.199, "sg": "No. 221", "de_polymorph_mev_per_atom": 0, "cell": [[4.685, 0.000, 0.000], [0.000, 4.685, 0.000], [0.000, 0.000, 4.685]], "species": ["Li", "Li", "Li", "Ti", "Mo"], "frac_coords": [[0.000, 0.000, 0.500], [0.000, 0.500, 0.000], [0.500, 0.000, 0.000], [0.500, 0.500, 0.500], [0.000, 0.000, 0.000]]}


no.,DFT total energy (eV per atom)
1,-6.391
2,-6.700
3,-6.039
4,-6.510
5,-4.976
6,-6.282
7,-6.512
8,-3.506